# Nd2Sm2Os | the Alexandria database | GGA-PBE | relaxed
# Formation energy from the elements, eV per atom: -0.03
# Volume, Å³/atom: 31.4
# N(E_F), states/eV/cell: 10.8
data_Nd2Sm2Os
_chemical_formula_sum 'Nd4 Sm4 Os2'
_symmetry_space_group_name_H-M 'P 1'
_symmetry_Int_Tables_number 1
_cell_length_a 7.192
_cell_length_b 7.192
_cell_length_c 7.526
_cell_angle_alpha 103.09
_cell_angle_beta 103.09
_cell_angle_gamma 116.57
loop_
_symmetry_equiv_pos_as_xyz
'x,y,z'
loop_
_atom_site_label
_atom_site_type_symbol
_atom_site_fract_x
_atom_site_fract_y
_atom_site_fract_z
Nd1 Nd 0.224 0.224 0.398
Nd2 Nd 0.258 0.258 0.906
Nd3 Nd 0.742 0.742 0.094
Nd4 Nd 0.776 0.776 0.602
Sm1 Sm 0.220 0.669 0.245
Sm2 Sm 0.331 0.780 0.755
Sm3 Sm 0.669 0.220 0.245
Sm4 Sm 0.780 0.331 0.755
Os1 Os 0.128 0.872 0.000
Os2 Os 0.872 0.128 0.000


# Nd2SmOs | the Alexandria database | GGA-PBE | relaxed
# Formation energy from the elements, eV per atom: -0.10
# Volume, Å³/atom: 29.3
# ΔE to the lowest computed polymorph, kJ per mole of atoms: 1.8
# N(E_F), states/eV/cell: 7.2
data_Nd2SmOs
_chemical_formula_sum 'Nd4 Sm2 Os2'
_symmetry_space_group_name_H-M 'P 1'
_symmetry_Int_Tables_number 1
_cell_length_a 6.462
_cell_length_b 6.462
_cell_length_c 9.361
_cell_angle_alpha 90.00
_cell_angle_beta 90.00
_cell_angle_gamma 143.20
loop_
_symmetry_equiv_pos_as_xyz
'x,y,z'
loop_
_atom_site_label
_atom_site_type_symbol
_atom_site_fract_x
_atom_site_fract_y
_atom_site_fract_z
Nd1 Nd 0.144 0.856 0.569
Nd2 Nd 0.144 0.856 0.931
Nd3 Nd 0.856 0.144 0.069
Nd4 Nd 0.856 0.144 0.431
Sm1 Sm 0.420 0.580 0.750
Sm2 Sm 0.580 0.420 0.250
Os1 Os 0.242 0.758 0.250
Os2 Os 0.758 0.242 0.750


# NdSm3Os | the Alexandria database | GGA-PBE | relaxed
# Formation energy from the elements, eV per atom: 0.08
# Volume, Å³/atom: 34.3
# ΔE to the lowest computed polymorph, kJ per mole of atoms: 17.3
# N(E_F), states/eV/cell: 6.9
data_NdSm3Os
_chemical_formula_sum 'Nd1 Sm3 Os1'
_symmetry_space_group_name_H-M 'P 1'
_symmetry_Int_Tables_number 1
_cell_length_a 5.557
_cell_length_b 5.557
_cell_length_c 5.557
_cell_angle_alpha 90.00
_cell_angle_beta 90.00
_cell_angle_gamma 90.00
loop_
_symmetry_equiv_pos_as_xyz
'x,y,z'
loop_
_atom_site_label
_atom_site_type_symbol
_atom_site_fract_x
_atom_site_fract_y
_atom_site_fract_z
Nd1 Nd 0.000 0.000 0.000
Sm1 Sm 0.000 0.500 0.500
Sm2 Sm 0.500 0.000 0.500
Sm3 Sm 0.500 0.500 0.000
Os1 Os 0.500 0.500 0.500


# NdSm4Os2 | the Alexandria database | GGA-PBE | relaxed
# Formation energy from the elements, eV per atom: -0.05
# Volume, Å³/atom: 27.6
# N(E_F), states/eV/cell: 13.6
data_NdSm4Os2
_chemical_formula_sum 'Nd2 Sm8 Os4'
_symmetry_space_group_name_H-M 'P 1'
_symmetry_Int_Tables_number 1
_cell_length_a 7.960
_cell_length_b 6.538
_cell_length_c 8.024
_cell_angle_alpha 90.00
_cell_angle_beta 112.46
_cell_angle_gamma 90.00
loop_
_symmetry_equiv_pos_as_xyz
'x,y,z'
loop_
_atom_site_label
_atom_site_type_symbol
_atom_site_fract_x
_atom_site_fract_y
_atom_site_fract_z
Nd1 Nd 0.026 0.250 0.159
Nd2 Nd 0.974 0.750 0.841
Sm1 Sm 0.241 0.502 0.582
Sm2 Sm 0.241 0.998 0.582
Sm3 Sm 0.324 0.750 0.248
Sm4 Sm 0.378 0.250 0.020
Sm5 Sm 0.622 0.750 0.980
Sm6 Sm 0.676 0.250 0.752
Sm7 Sm 0.759 0.002 0.418
Sm8 Sm 0.759 0.498 0.418
Os1 Os 0.021 0.250 0.742
Os2 Os 0.411 0.250 0.375
Os3 Os 0.589 0.750 0.625
Os4 Os 0.979 0.750 0.258


# NdSm3Os | the Alexandria database | GGA-PBE | relaxed
# Formation energy from the elements, eV per atom: -0.10
# Volume, Å³/atom: 31.9
# ΔE to the lowest computed polymorph, kJ per mole of atoms: 0.0
# N(E_F), states/eV/cell: 9.9
data_NdSm3Os
_chemical_formula_sum 'Nd2 Sm6 Os2'
_symmetry_space_group_name_H-M 'P 1'
_symmetry_Int_Tables_number 1
_cell_length_a 7.449
_cell_length_b 7.449
_cell_length_c 8.349
_cell_angle_alpha 123.91
_cell_angle_beta 123.91
_cell_angle_gamma 71.63
loop_
_symmetry_equiv_pos_as_xyz
'x,y,z'
loop_
_atom_site_label
_atom_site_type_symbol
_atom_site_fract_x
_atom_site_fract_y
_atom_site_fract_z
Nd1 Nd 0.054 0.054 0.349
Nd2 Nd 0.946 0.946 0.651
Sm1 Sm 0.054 0.448 0.203
Sm2 Sm 0.446 0.446 0.745
Sm3 Sm 0.448 0.054 0.203
Sm4 Sm 0.552 0.946 0.797
Sm5 Sm 0.554 0.554 0.255
Sm6 Sm 0.946 0.552 0.797
Os1 Os 0.251 0.251 0.882
Os2 Os 0.749 0.749 0.118


# Nd2Sm3Os2 | the Alexandria database | GGA-PBE | relaxed
# Formation energy from the elements, eV per atom: -0.12
# Volume, Å³/atom: 28.1
# N(E_F), states/eV/cell: 5.2
data_Nd2Sm3Os2
_chemical_formula_sum 'Nd2 Sm3 Os2'
_symmetry_space_group_name_H-M 'P 1'
_symmetry_Int_Tables_number 1
_cell_length_a 6.463
_cell_length_b 6.463
_cell_length_c 8.699
_cell_angle_alpha 112.36
_cell_angle_beta 112.36
_cell_angle_gamma 36.15
loop_
_symmetry_equiv_pos_as_xyz
'x,y,z'
loop_
_atom_site_label
_atom_site_type_symbol
_atom_site_fract_x
_atom_site_fract_y
_atom_site_fract_z
Nd1 Nd 0.165 0.165 0.308
Nd2 Nd 0.835 0.835 0.692
Sm1 Sm 0.376 0.376 0.074
Sm2 Sm 0.500 0.500 0.500
Sm3 Sm 0.624 0.624 0.926
Os1 Os 0.179 0.179 0.723
Os2 Os 0.821 0.821 0.277


# NdSm3Os | the Alexandria database | GGA-PBE | relaxed
# Formation energy from the elements, eV per atom: -0.05
# Volume, Å³/atom: 31.4
# ΔE to the lowest computed polymorph, kJ per mole of atoms: 4.1
# N(E_F), states/eV/cell: 22.4
data_NdSm3Os
_chemical_formula_sum 'Nd4 Sm12 Os4'
_symmetry_space_group_name_H-M 'P 1'
_symmetry_Int_Tables_number 1
_cell_length_a 7.084
_cell_length_b 7.008
_cell_length_c 12.647
_cell_angle_alpha 90.00
_cell_angle_beta 91.38
_cell_angle_gamma 90.00
loop_
_symmetry_equiv_pos_as_xyz
'x,y,z'
loop_
_atom_site_label
_atom_site_type_symbol
_atom_site_fract_x
_atom_site_fract_y
_atom_site_fract_z
Nd1 Nd 0.240 0.018 0.279
Nd2 Nd 0.240 0.482 0.779
Nd3 Nd 0.760 0.518 0.221
Nd4 Nd 0.760 0.982 0.721
Sm1 Sm 0.109 0.242 0.535
Sm2 Sm 0.109 0.258 0.035
Sm3 Sm 0.264 0.515 0.302
Sm4 Sm 0.264 0.985 0.802
Sm5 Sm 0.392 0.716 0.056
Sm6 Sm 0.392 0.784 0.556
Sm7 Sm 0.608 0.216 0.444
Sm8 Sm 0.608 0.284 0.944
Sm9 Sm 0.736 0.015 0.198
Sm10 Sm 0.736 0.485 0.698
Sm11 Sm 0.891 0.742 0.965
Sm12 Sm 0.891 0.758 0.465
Os1 Os 0.445 0.202 0.646
Os2 Os 0.445 0.298 0.146
Os3 Os 0.555 0.702 0.854
Os4 Os 0.555 0.798 0.354


# Nd2SmOs | the Alexandria database | GGA-PBE | relaxed
# Formation energy from the elements, eV per atom: -0.12
# Volume, Å³/atom: 29.2
# ΔE to the lowest computed polymorph, kJ per mole of atoms: 0.0
# N(E_F), states/eV/cell: 15.0
data_Nd2SmOs
_chemical_formula_sum 'Nd8 Sm4 Os4'
_symmetry_space_group_name_H-M 'P 1'
_symmetry_Int_Tables_number 1
_cell_length_a 7.481
_cell_length_b 9.599
_cell_length_c 6.510
_cell_angle_alpha 90.00
_cell_angle_beta 90.00
_cell_angle_gamma 90.00
loop_
_symmetry_equiv_pos_as_xyz
'x,y,z'
loop_
_atom_site_label
_atom_site_type_symbol
_atom_site_fract_x
_atom_site_fract_y
_atom_site_fract_z
Nd1 Nd 0.175 0.066 0.170
Nd2 Nd 0.175 0.434 0.170
Nd3 Nd 0.325 0.566 0.670
Nd4 Nd 0.325 0.934 0.670
Nd5 Nd 0.675 0.066 0.330
Nd6 Nd 0.675 0.434 0.330
Nd7 Nd 0.825 0.566 0.830
Nd8 Nd 0.825 0.934 0.830
Sm1 Sm 0.043 0.250 0.641
Sm2 Sm 0.457 0.750 0.141
Sm3 Sm 0.543 0.250 0.859
Sm4 Sm 0.957 0.750 0.359
Os1 Os 0.115 0.750 0.955
Os2 Os 0.385 0.250 0.455
Os3 Os 0.615 0.750 0.545
Os4 Os 0.885 0.250 0.045